# PuTh2Tl, optimized geometry, DFT PBE-GGA
data_PuTh2Tl
_chemical_formula_sum 'Pu1 Th2 Tl1'
_symmetry_space_group_name_H-M 'P 4/m m m'
_symmetry_Int_Tables_number 123
_symmetry_space_group_name_Hall '-P 4 2'
_cell_length_a 5.054
_cell_length_b 5.054
_cell_length_c 4.523
_cell_angle_alpha 90.00
_cell_angle_beta 90.00
_cell_angle_gamma 90.00
loop_
_atom_site_label
_atom_site_fract_x
_atom_site_fract_y
_atom_site_fract_z
Pu1 0.000 0.000 0.000
Th1 0.000 0.500 0.500
Tl1 0.500 0.500 0.000
# DOS(E_F)	10.5	states/eV/f.u.
# total magnetization	6.37	μB/f.u.
# DFT formation energy	-2.2	kJ per mole of atoms
# volume	115.5	Å³/f.u.
# ΔE to the lowest computed polymorph	0.000	eV per formula unit

---

# CdMoW2, optimized geometry, DFT PBE-GGA
data_CdMoW2
_chemical_formula_sum 'Cd1 Mo1 W2'
_symmetry_space_group_name_H-M 'P 4/m m m'
_symmetry_Int_Tables_number 123
_symmetry_space_group_name_Hall '-P 4 2'
_cell_length_a 4.006
_cell_length_b 4.006
_cell_length_c 4.159
_cell_angle_alpha 90.00
_cell_angle_beta 90.00
_cell_angle_gamma 90.00
loop_
_atom_site_label
_atom_site_fract_x
_atom_site_fract_y
_atom_site_fract_z
Cd1 0.000 0.000 0.000
Mo1 0.500 0.500 0.000
W1 0.000 0.500 0.500
# DOS(E_F)	2.2	states/eV/f.u.
# total magnetization	0.00	μB/f.u.
# DFT formation energy	52.1	kJ per mole of atoms
# volume	66.8	Å³/f.u.

---

# SrSmPt, optimized geometry, DFT PBE-GGA
data_SrSmPt
_chemical_formula_sum 'Sr4 Sm4 Pt4'
_symmetry_space_group_name_H-M 'I m m m'
_symmetry_Int_Tables_number 71
_symmetry_space_group_name_Hall '-I 2 2'
_cell_length_a 4.109
_cell_length_b 6.660
_cell_length_c 13.548
_cell_angle_alpha 90.00
_cell_angle_beta 90.00
_cell_angle_gamma 90.00
loop_
_atom_site_label
_atom_site_fract_x
_atom_site_fract_y
_atom_site_fract_z
Sr1 0.000 0.238 0.000
Sm1 0.000 0.000 0.280
Pt1 0.000 0.500 0.357
# DOS(E_F)	2.6	states/eV/f.u.
# total magnetization	0.00	μB/f.u.
# DFT formation energy	-60.5	kJ per mole of atoms
# volume	92.7	Å³/f.u.
# ΔE to the lowest computed polymorph	0.150	eV per formula unit

---

# TeAsO2, optimized geometry, DFT PBE-GGA
data_TeAsO2
_chemical_formula_sum 'Te4 As4 O8'
_symmetry_space_group_name_H-M 'F m -3 m'
_symmetry_Int_Tables_number 225
_symmetry_space_group_name_Hall '-F 4 2 3'
_cell_length_a 6.032
_cell_length_b 6.032
_cell_length_c 6.032
_cell_angle_alpha 90.00
_cell_angle_beta 90.00
_cell_angle_gamma 90.00
loop_
_atom_site_label
_atom_site_fract_x
_atom_site_fract_y
_atom_site_fract_z
Te1 0.000 0.000 0.000
As1 0.000 0.000 0.500
O1 0.250 0.250 0.250
# DOS(E_F)	2.9	states/eV/f.u.
# total magnetization	0.00	μB/f.u.
# uncorrected formation energy	0.305	eV/atom
# volume	54.9	Å³/f.u.
# ΔE to the lowest computed polymorph	2.982	eV per formula unit

---

# KCuMo4, optimized geometry, DFT PBE-GGA
data_KCuMo4
_chemical_formula_sum 'K4 Cu4 Mo16'
_symmetry_space_group_name_H-M 'F -4 3 m'
_symmetry_Int_Tables_number 216
_symmetry_space_group_name_Hall 'F -4 2 3'
_cell_length_a 7.630
_cell_length_b 7.630
_cell_length_c 7.630
_cell_angle_alpha 90.00
_cell_angle_beta 90.00
_cell_angle_gamma 90.00
loop_
_atom_site_label
_atom_site_fract_x
_atom_site_fract_y
_atom_site_fract_z
K1 0.000 0.000 0.000
Cu1 0.250 0.250 0.250
Mo1 0.126 0.126 0.626
# DOS(E_F)	5.7	states/eV/f.u.
# total magnetization	0.00	μB/f.u.
# DFT formation energy	111.6	kJ per mole of atoms
# volume	111.1	Å³/f.u.

---

# Mg5In4Ru, optimized geometry, DFT PBE-GGA
data_Mg5In4Ru
_chemical_formula_sum 'Mg10 In8 Ru2'
_symmetry_space_group_name_H-M 'I 4 m m'
_symmetry_Int_Tables_number 107
_symmetry_space_group_name_Hall 'I 4 -2'
_cell_length_a 9.422
_cell_length_b 9.422
_cell_length_c 5.239
_cell_angle_alpha 90.00
_cell_angle_beta 90.00
_cell_angle_gamma 90.00
loop_
_atom_site_label
_atom_site_fract_x
_atom_site_fract_y
_atom_site_fract_z
Mg1 0.000 0.000 0.000
Mg2 0.182 0.182 0.303
In1 0.000 0.298 0.750
Ru1 0.000 0.000 0.507
# DOS(E_F)	5.1	states/eV/f.u.
# total magnetization	0.00	μB/f.u.
# DFT formation energy	2.1	kJ per mole of atoms
# volume	232.5	Å³/f.u.

---

# La3SnN, optimized geometry, DFT PBE-GGA
data_La3SnN
_chemical_formula_sum 'La18 Sn6 N6'
_symmetry_space_group_name_H-M 'R -3 c'
_symmetry_Int_Tables_number 167
_symmetry_space_group_name_Hall '-R 3 2"c'
_cell_length_a 7.5915
_cell_length_b 7.5915
_cell_length_c 22.5300
_cell_angle_alpha 90.00
_cell_angle_beta 90.00
_cell_angle_gamma 120.00
loop_
_atom_site_label
_atom_site_fract_x
_atom_site_fract_y
_atom_site_fract_z
La1 0.0000 0.2938 0.2500
Sn1 0.0000 0.0000 0.0000
N1 0.0000 0.0000 0.2500
# DOS(E_F)	4.2	states/eV/f.u.
# total magnetization	1.82	μB/f.u.
# uncorrected formation energy	-0.615	eV/atom
# volume	187.4	Å³/f.u.

---

# IrSO2, optimized geometry, DFT PBE-GGA
data_IrSO2
_chemical_formula_sum 'Ir3 S3 O6'
_symmetry_space_group_name_H-M 'R -3 m'
_symmetry_Int_Tables_number 166
_symmetry_space_group_name_Hall '-R 3 2"'
_cell_length_a 2.7371
_cell_length_b 2.7371
_cell_length_c 21.2526
_cell_angle_alpha 90.00
_cell_angle_beta 90.00
_cell_angle_gamma 120.00
loop_
_atom_site_label
_atom_site_fract_x
_atom_site_fract_y
_atom_site_fract_z
Ir1 0.0000 0.0000 0.0000
S1 0.0000 0.0000 0.5000
O1 0.0000 0.0000 0.0881
# DOS(E_F)	2.4	states/eV/f.u.
# total magnetization	0.00	μB/f.u.
# uncorrected formation energy	0.363	eV/atom
# volume	46.0	Å³/f.u.

---

# CaTe2IF, optimized geometry, DFT PBE-GGA
data_CaTe2IF
_chemical_formula_sum 'Ca1 Te2 I1 F1'
_symmetry_space_group_name_H-M 'P 4/m m m'
_symmetry_Int_Tables_number 123
_symmetry_space_group_name_Hall '-P 4 2'
_cell_length_a 6.207
_cell_length_b 6.207
_cell_length_c 5.919
_cell_angle_alpha 90.00
_cell_angle_beta 90.00
_cell_angle_gamma 90.00
loop_
_atom_site_label
_atom_site_fract_x
_atom_site_fract_y
_atom_site_fract_z
Ca1 0.000 0.000 0.000
Te1 0.000 0.500 0.000
I1 0.000 0.000 0.500
F1 0.500 0.500 0.500
# DOS(E_F)	10.4	states/eV/f.u.
# total magnetization	3.91	μB/f.u.
# uncorrected formation energy	-0.198	eV/atom
# volume	228.1	Å³/f.u.
# ΔE to the lowest computed polymorph	3.029	eV per formula unit

---

# LiAc2Hg4Pb2, optimized geometry, DFT PBE-GGA
data_LiAc2Hg4Pb2
_chemical_formula_sum 'Li2 Ac4 Hg8 Pb4'
_symmetry_space_group_name_H-M 'I 4/m m m'
_symmetry_Int_Tables_number 139
_symmetry_space_group_name_Hall '-I 4 2'
_cell_length_a 7.029
_cell_length_b 7.029
_cell_length_c 10.216
_cell_angle_alpha 90.00
_cell_angle_beta 90.00
_cell_angle_gamma 90.00
loop_
_atom_site_label
_atom_site_fract_x
_atom_site_fract_y
_atom_site_fract_z
Li1 0.000 0.000 0.000
Ac1 0.000 0.500 0.250
Hg1 0.234 0.234 0.500
Pb1 0.000 0.000 0.278
# DOS(E_F)	5.0	states/eV/f.u.
# total magnetization	0.00	μB/f.u.
# DFT formation energy	-38.7	kJ per mole of atoms
# volume	252.4	Å³/f.u.

---

# SiBP2, optimized geometry, DFT PBE-GGA
data_SiBP2
_chemical_formula_sum 'Si4 B4 P8'
_symmetry_space_group_name_H-M 'I -4 2 d'
_symmetry_Int_Tables_number 122
_symmetry_space_group_name_Hall 'I -4 2bw'
_cell_length_a 5.001
_cell_length_b 5.001
_cell_length_c 9.364
_cell_angle_alpha 90.00
_cell_angle_beta 90.00
_cell_angle_gamma 90.00
loop_
_atom_site_label
_atom_site_fract_x
_atom_site_fract_y
_atom_site_fract_z
Si1 0.000 0.000 0.000
B1 0.000 0.000 0.500
P1 0.199 0.250 0.625
# DOS(E_F)	1.7	states/eV/f.u.
# total magnetization	0.00	μB/f.u.
# uncorrected formation energy	-0.009	eV/atom
# volume	58.6	Å³/f.u.
# ΔE to the lowest computed polymorph	0.000	eV per formula unit

---

# MgAl2ReTc, optimized geometry, DFT PBE-GGA
data_MgAl2ReTc
_chemical_formula_sum 'Mg1 Al2 Re1 Tc1'
_symmetry_space_group_name_H-M 'P 4/m m m'
_symmetry_Int_Tables_number 123
_symmetry_space_group_name_Hall '-P 4 2'
_cell_length_a 4.770
_cell_length_b 4.770
_cell_length_c 4.780
_cell_angle_alpha 90.00
_cell_angle_beta 90.00
_cell_angle_gamma 90.00
loop_
_atom_site_label
_atom_site_fract_x
_atom_site_fract_y
_atom_site_fract_z
Mg1 0.000 0.000 0.000
Al1 0.000 0.500 0.500
Re1 0.500 0.500 0.500
Tc1 0.500 0.500 0.000
# DOS(E_F)	3.5	states/eV/f.u.
# total magnetization	0.82	μB/f.u.
# DFT formation energy	73.4	kJ per mole of atoms
# volume	108.8	Å³/f.u.